Entry 1:
## Mg5Zn3 (GGA-PBE)

Data for crystalline Mg5Zn3 at its relaxed geometry.

Cell: 5.5567 15.0775 7.8603 Å, 90.00 107.35 90.00°
Space group C2/m (No. 12)
Asymmetric unit:
Mg: 0.1154 0.1790 0.2039 (multiplicity 8)
Mg: 0.1727 0.3978 0.3579 (multiplicity 8)
Mg: 0.2470 0.5000 0.9931 (multiplicity 4)
Zn: 0.0000 0.2487 0.5000 (multiplicity 4)
Zn: 0.0000 0.3355 0.0000 (multiplicity 4)
Zn: 0.1226 0.0000 0.3339 (multiplicity 4)

Its energy relative to the elements is -58 meV per atom. The density of states at the Fermi level comes out at 0.38 states/eV/atom. The value obtained for the total energy is -49.04 eV for the cell shown. As for the volume: 19.64 Å³ per atom. The energy relative to the lowest polymorph listed for this composition comes out at 0.10 eV/f.u.

=====

Entry 2:
## Mg3Zn2 (GGA-PBE)

Data for crystalline Mg3Zn2 at its relaxed geometry.

Cell: 3.1932 3.1932 33.8940 Å, 90.00 90.00 120.00°
Space group R-3m (No. 166, hexagonal axes)
Asymmetric unit:
Mg: 0.0000 0.0000 0.0000 (multiplicity 3)
Mg: 0.0000 0.0000 0.2048 (multiplicity 6)
Zn: 0.0000 0.0000 0.3976 (multiplicity 6)

Its energy relative to the elements is 21 meV per atom. The density of states at the Fermi level comes out at 0.41 states/eV/atom. The value obtained for the total energy is -21.68 eV for the cell shown. As for the volume: 19.95 Å³ per atom. The energy relative to the lowest polymorph listed for this composition comes out at 0.39 eV/f.u.

=====

Entry 3:
## Mg3Zn (GGA-PBE)

Data for crystalline Mg3Zn at its relaxed geometry.

Cell: 10.2383 3.1951 5.2593 Å, 90.00 106.57 90.00°
Space group C2/m (No. 12)
Asymmetric unit:
Mg: 0.0000 0.0000 0.0000 (multiplicity 2)
Mg: 0.2342 0.0000 0.7355 (multiplicity 4)
Zn: 0.0000 0.5000 0.5000 (multiplicity 2)

Its energy relative to the elements is -18 meV per atom. The density of states at the Fermi level comes out at 0.35 states/eV/atom. The value obtained for the total energy is -12.26 eV for the cell shown. As for the volume: 20.61 Å³ per atom.

=====

Entry 4:
## MgZn5 (GGA-PBE)

Data for crystalline MgZn5 at its relaxed geometry.

Cell: 10.8853 2.8031 6.5056 Å, 90.00 104.19 90.00°
Space group Cm (No. 8)
Asymmetric unit:
Mg: 0.0000 0.0000 0.0000 (multiplicity 2)
Zn: 0.1201 0.5000 0.7255 (multiplicity 2)
Zn: 0.1727 0.5000 0.3434 (multiplicity 2)
Zn: 0.2800 0.0000 0.0700 (multiplicity 2)
Zn: 0.3310 0.0000 0.6664 (multiplicity 2)
Zn: 0.4498 0.5000 0.4047 (multiplicity 2)

Its energy relative to the elements is -10 meV per atom. The density of states at the Fermi level comes out at 0.15 states/eV/atom. The value obtained for the total energy is -16.05 eV for the cell shown. As for the volume: 16.04 Å³ per atom.

=====

Entry 5:
## MgZn (GGA-PBE)

Data for crystalline MgZn at its relaxed geometry.

Cell: 3.0864 3.0864 13.6607 Å, 90.00 90.00 120.00°
Space group R-3m (No. 166, hexagonal axes)
Asymmetric unit:
Mg: 0.0000 0.0000 0.0000 (multiplicity 3)
Zn: 0.0000 0.0000 0.5000 (multiplicity 3)

Its energy relative to the elements is -12 meV per atom. The density of states at the Fermi level comes out at 0.29 states/eV/atom. The value obtained for the total energy is -8.68 eV for the cell shown. As for the volume: 18.78 Å³ per atom.

=====

Entry 6:
## MgZn2 (GGA-PBE)

Data for crystalline MgZn2 at its relaxed geometry.

Cell: 10.9460 2.9082 6.6866 Å, 90.00 103.70 90.00°
Space group Cm (No. 8)
Asymmetric unit:
Mg: 0.0000 0.0000 0.0000 (multiplicity 2)
Mg: 0.1826 0.5000 0.3505 (multiplicity 2)
Zn: 0.1251 0.5000 0.7362 (multiplicity 2)
Zn: 0.2829 0.0000 0.0582 (multiplicity 2)
Zn: 0.3442 0.0000 0.6773 (multiplicity 2)
Zn: 0.4574 0.5000 0.4111 (multiplicity 2)

Its energy relative to the elements is -17 meV per atom. The density of states at the Fermi level comes out at 0.14 states/eV/atom. The value obtained for the total energy is -16.77 eV for the cell shown. As for the volume: 17.23 Å³ per atom.

=====

Entry 7:
## MgZn2 (GGA-PBE)

Data for crystalline MgZn2 at its relaxed geometry.

Cell: 3.0643 14.5077 4.5896 Å, 90.00 90.00 90.00°
Space group Cmcm (No. 63)
Asymmetric unit:
Mg: 0.0000 0.0648 0.2500 (multiplicity 4)
Zn: 0.0000 0.2712 0.7500 (multiplicity 4)
Zn: 0.0000 0.3828 0.2500 (multiplicity 4)

Its energy relative to the elements is -34 meV per atom. The density of states at the Fermi level comes out at 0.29 states/eV/atom. The value obtained for the total energy is -16.98 eV for the cell shown. As for the volume: 17.00 Å³ per atom.

=====

Entry 8:
## MgZn (GGA-PBE)

Data for crystalline MgZn at its relaxed geometry.

Cell: 4.7500 3.0497 4.9630 Å, 90.00 90.00 90.00°
Space group Pmma (No. 51)
Asymmetric unit:
Mg: 0.2500 0.0000 0.1935 (multiplicity 2)
Zn: 0.2500 0.5000 0.6773 (multiplicity 2)

Its energy relative to the elements is -85 meV per atom. The density of states at the Fermi level comes out at 0.22 states/eV/atom. The value obtained for the total energy is -6.08 eV for the cell shown. As for the volume: 17.97 Å³ per atom.

=====

Entry 9:
## MgZn (GGA-PBE)

Data for crystalline MgZn at its relaxed geometry.

Cell: 9.6848 8.0975 5.6844 Å, 90.00 90.00 90.00°
Space group Pbcm (No. 57)
Asymmetric unit:
Mg: 0.1235 0.2500 0.0000 (multiplicity 4)
Mg: 0.1794 0.6404 0.2500 (multiplicity 4)
Mg: 0.3508 0.0325 0.2500 (multiplicity 4)
Zn: 0.0651 0.5443 0.7500 (multiplicity 4)
Zn: 0.3708 0.1078 0.7500 (multiplicity 4)
Zn: 0.4322 0.7500 0.0000 (multiplicity 4)

Its energy relative to the elements is -58 meV per atom. The density of states at the Fermi level comes out at 0.33 states/eV/atom. The value obtained for the total energy is -35.81 eV for the cell shown. As for the volume: 18.57 Å³ per atom.

=====

Entry 10:
## MgZn2 (GGA-PBE)

Data for crystalline MgZn2 at its relaxed geometry.

Cell: 5.1566 5.1566 8.6926 Å, 90.00 90.00 120.00°
Space group P6_3/mmc (No. 194)
Asymmetric unit:
Mg: 0.3333 0.6667 0.0640 (multiplicity 4)
Zn: 0.0000 0.0000 0.0000 (multiplicity 2)
Zn: 0.1692 0.3384 0.7500 (multiplicity 6)

Its energy relative to the elements is -124 meV per atom. The density of states at the Fermi level comes out at 0.23 states/eV/atom. The value obtained for the total energy is -18.05 eV for the cell shown. As for the volume: 16.68 Å³ per atom.

=====

Entry 11:
## Mg3Zn (GGA-PBE)

Data for crystalline Mg3Zn at its relaxed geometry.

Cell: 5.4739 5.4739 5.4739 Å, 90.00 90.00 90.00°
Space group Pm-3n (No. 223)
Asymmetric unit:
Mg: 0.0000 0.2500 0.5000 (multiplicity 6)
Zn: 0.0000 0.0000 0.0000 (multiplicity 2)

Its energy relative to the elements is -1 meV per atom. The density of states at the Fermi level comes out at 0.35 states/eV/atom. The value obtained for the total energy is -12.12 eV for the cell shown. As for the volume: 20.50 Å³ per atom.

=====

Entry 12:
## MgZn (GGA-PBE)

Data for crystalline MgZn at its relaxed geometry.

Cell: 7.8927 7.8927 4.3191 Å, 90.00 90.00 120.00°
Space group P6_3/mmc (No. 194)
Asymmetric unit:
Mg: 0.1686 0.3372 0.2500 (multiplicity 6)
Zn: 0.1138 0.5569 0.7500 (multiplicity 6)

Its energy relative to the elements is -50 meV per atom. The density of states at the Fermi level comes out at 0.36 states/eV/atom. The value obtained for the total energy is -17.81 eV for the cell shown. As for the volume: 19.42 Å³ per atom.

=====

Entry 13:
## MgZn6 (GGA-PBE)

Data for crystalline MgZn6 at its relaxed geometry.

Cell: 6.9602 6.9602 6.9602 Å, 90.00 90.00 90.00°
Space group Im-3m (No. 229)
Asymmetric unit:
Mg: 0.0000 0.0000 0.0000 (multiplicity 2)
Zn: 0.0000 0.2500 0.5000 (multiplicity 12)

Its energy relative to the elements is 451 meV per atom. The density of states at the Fermi level comes out at 0.67 states/eV/atom. The value obtained for the total energy is -12.16 eV for the cell shown. As for the volume: 24.08 Å³ per atom. The energy relative to the lowest polymorph listed for this composition comes out at 3.34 eV/f.u.

=====

Entry 14:
## Mg3Zn11 (GGA-PBE)

Data for crystalline Mg3Zn11 at its relaxed geometry.

Cell: 4.2179 9.8670 11.2027 Å, 90.00 90.00 90.00°
Space group Immm (No. 71)
Asymmetric unit:
Mg: 0.0000 0.0000 0.0000 (multiplicity 2)
Mg: 0.0000 0.0000 0.2792 (multiplicity 4)
Zn: 0.0000 0.1524 0.5000 (multiplicity 4)
Zn: 0.0000 0.2799 0.1453 (multiplicity 8)
Zn: 0.0000 0.3720 0.3673 (multiplicity 8)
Zn: 0.0000 0.5000 0.0000 (multiplicity 2)

Its energy relative to the elements is -49 meV per atom. The density of states at the Fermi level comes out at 0.23 states/eV/atom. The value obtained for the total energy is -38.97 eV for the cell shown. As for the volume: 16.65 Å³ per atom.

=====

Entry 15:
## Mg3Zn2 (GGA-PBE)

Data for crystalline Mg3Zn2 at its relaxed geometry.

Cell: 4.4728 5.5344 7.9367 Å, 90.00 90.00 90.00°
Space group Immm (No. 71)
Asymmetric unit:
Mg: 0.0000 0.0000 0.0000 (multiplicity 2)
Mg: 0.0000 0.5000 0.1943 (multiplicity 4)
Zn: 0.0000 0.2262 0.5000 (multiplicity 4)

Its energy relative to the elements is -57 meV per atom. The density of states at the Fermi level comes out at 0.34 states/eV/atom. The value obtained for the total energy is -15.24 eV for the cell shown. As for the volume: 19.65 Å³ per atom. The energy relative to the lowest polymorph listed for this composition comes out at 0.00 eV/f.u.

=====

Entry 16:
## MgZn (GGA-PBE)

Data for crystalline MgZn at its relaxed geometry.

Cell: 3.0760 3.0760 7.8368 Å, 90.00 90.00 90.00°
Space group P4/nmm (No. 129, origin choice 2)
Asymmetric unit:
Mg: 0.2500 0.2500 0.1532 (multiplicity 2)
Zn: 0.2500 0.2500 0.6016 (multiplicity 2)

Its energy relative to the elements is -25 meV per atom. The density of states at the Fermi level comes out at 0.32 states/eV/atom. The value obtained for the total energy is -5.84 eV for the cell shown. As for the volume: 18.54 Å³ per atom.

=====

Entry 17:
## Mg3Zn (GGA-PBE)

Data for crystalline Mg3Zn at its relaxed geometry.

Cell: 3.1837 3.1837 8.1189 Å, 90.00 90.00 90.00°
Space group P4/mmm (No. 123)
Asymmetric unit:
Mg: 0.0000 0.0000 0.0000 (multiplicity 1)
Mg: 0.5000 0.5000 0.2809 (multiplicity 2)
Zn: 0.0000 0.0000 0.5000 (multiplicity 1)

Its energy relative to the elements is -34 meV per atom. The density of states at the Fermi level comes out at 0.35 states/eV/atom. The value obtained for the total energy is -6.19 eV for the cell shown. As for the volume: 20.57 Å³ per atom.

=====

Entry 18:
## Mg3Zn (GGA-PBE)

Data for crystalline Mg3Zn at its relaxed geometry.

Cell: 3.1294 3.1294 9.8257 Å, 90.00 90.00 120.00°
Space group P-6m2 (No. 187)
Asymmetric unit:
Mg: 0.0000 0.0000 0.0000 (multiplicity 1)
Mg: 0.3333 0.6667 0.2683 (multiplicity 2)
Zn: 0.0000 0.0000 0.5000 (multiplicity 1)

Its energy relative to the elements is 1 meV per atom. The density of states at the Fermi level comes out at 0.37 states/eV/atom. The value obtained for the total energy is -6.06 eV for the cell shown. As for the volume: 20.83 Å³ per atom.

=====

Entry 19:
## Mg5Zn2 (GGA-PBE)

Data for crystalline Mg5Zn2 at its relaxed geometry.

Cell: 14.5502 5.2165 7.7707 Å, 90.00 99.47 90.00°
Space group C2/c (No. 15)
Asymmetric unit:
Mg: 0.0000 0.1711 0.2500 (multiplicity 4)
Mg: 0.0981 0.3348 0.9321 (multiplicity 8)
Mg: 0.2137 0.1400 0.3178 (multiplicity 8)
Zn: 0.1030 0.1833 0.5857 (multiplicity 8)

Its energy relative to the elements is -41 meV per atom. The density of states at the Fermi level comes out at 0.29 states/eV/atom. The value obtained for the total energy is -43.23 eV for the cell shown. As for the volume: 20.78 Å³ per atom.

=====

Entry 20:
## MgZn (GGA-PBE)

Data for crystalline MgZn at its relaxed geometry.

Cell: 9.7050 9.7050 4.7504 Å, 90.00 90.00 90.00°
Space group I4/m (No. 87)
Asymmetric unit:
Mg: 0.1008 0.6087 0.0000 (multiplicity 8)
Zn: 0.1990 0.3008 0.0000 (multiplicity 8)

Its energy relative to the elements is 214 meV per atom. The density of states at the Fermi level comes out at 0.33 states/eV/atom. The value obtained for the total energy is -19.53 eV for the cell shown. As for the volume: 27.96 Å³ per atom.

=====

Entry 21:
## MgZn5 (GGA-PBE)

Data for crystalline MgZn5 at its relaxed geometry.

Cell: 4.0422 12.1872 3.8961 Å, 90.00 90.00 90.00°
Space group Cmmm (No. 65)
Asymmetric unit:
Mg: 0.0000 0.0000 0.0000 (multiplicity 2)
Zn: 0.0000 0.1714 0.5000 (multiplicity 4)
Zn: 0.0000 0.3295 0.0000 (multiplicity 4)
Zn: 0.0000 0.5000 0.5000 (multiplicity 2)

Its energy relative to the elements is -25 meV per atom. The density of states at the Fermi level comes out at 0.11 states/eV/atom. The value obtained for the total energy is -16.23 eV for the cell shown. As for the volume: 15.99 Å³ per atom.

=====

Entry 22:
## Mg3Zn (GGA-PBE)

Data for crystalline Mg3Zn at its relaxed geometry.

Cell: 6.0863 10.5371 5.1227 Å, 90.00 90.00 90.00°
Space group Cmcm (No. 63)
Asymmetric unit:
Mg: 0.0000 0.0869 0.2500 (multiplicity 4)
Mg: 0.2442 0.3411 0.2500 (multiplicity 8)
Zn: 0.0000 0.4075 0.7500 (multiplicity 4)

Its energy relative to the elements is -10 meV per atom. The density of states at the Fermi level comes out at 0.52 states/eV/atom. The value obtained for the total energy is -24.39 eV for the cell shown. As for the volume: 20.53 Å³ per atom.

=====

Entry 23:
## MgZn2 (GGA-PBE)

Data for crystalline MgZn2 at its relaxed geometry.

Cell: 2.9005 14.5792 4.9128 Å, 90.00 90.00 90.00°
Space group Cmcm (No. 63)
Asymmetric unit:
Mg: 0.0000 0.2146 0.2500 (multiplicity 4)
Zn: 0.0000 0.1117 0.7500 (multiplicity 4)
Zn: 0.0000 0.4545 0.7500 (multiplicity 4)

Its energy relative to the elements is 1 meV per atom. The density of states at the Fermi level comes out at 0.28 states/eV/atom. The value obtained for the total energy is -16.56 eV for the cell shown. As for the volume: 17.31 Å³ per atom.

=====

Entry 24:
## MgZn2 (GGA-PBE)

Data for crystalline MgZn2 at its relaxed geometry.

Cell: 3.0049 14.3183 4.7157 Å, 90.00 90.00 90.00°
Space group Cmcm (No. 63)
Asymmetric unit:
Mg: 0.0000 0.1077 0.2500 (multiplicity 4)
Zn: 0.0000 0.2201 0.7500 (multiplicity 4)
Zn: 0.0000 0.4414 0.2500 (multiplicity 4)

Its energy relative to the elements is -36 meV per atom. The density of states at the Fermi level comes out at 0.29 states/eV/atom. The value obtained for the total energy is -17.00 eV for the cell shown. As for the volume: 16.91 Å³ per atom.